# 1
Below is crystalline PrTm2Zr at its relaxed geometry, with properties calculated at the PBE level.

Calculated values
SG = R3m
mass density = 8.1 g/cm³
M_tot = 0.00 μB/cell
ΔE_f = 7.5 kJ per mole of atoms
excess energy over the best structure of this formula in the dataset = 0 meV per atom

Unit cell a=3.4625 b=3.4625 c=33.8706 alpha=90.00 beta=90.00 gamma=120.00
Element x y z (fractional)
Pr  0.0000  0.0000  0.0000
Pr  0.3333  0.6667  0.6667
Pr  0.6667  0.3333  0.3333
Tm  0.0000  0.0000  0.5759
Tm  0.0000  0.0000  0.7560
Tm  0.3333  0.6667  0.2425
Tm  0.3333  0.6667  0.4227
Tm  0.6667  0.3333  0.0894
Tm  0.6667  0.3333  0.9092
Zr  0.0000  0.0000  0.1658
Zr  0.3333  0.6667  0.8325
Zr  0.6667  0.3333  0.4992



# 2
Below is crystalline Ce2Tm5Sb4 at its relaxed geometry, with properties calculated at the PBE level.

Calculated values
SG = C2/m
mass density = 7.5 g/cm³
M_tot = 3.76 μB/cell
formation energy from raw total energies = -0.413 eV/atom

Unit cell a=13.1827 b=13.1827 c=6.7068 alpha=90.13 beta=90.13 gamma=17.95
Element x y z (fractional)
Ce  0.0870  0.0870  0.2861
Ce  0.9130  0.9130  0.7139
Tm  0.1526  0.1526  0.7934
Tm  0.2359  0.2359  0.2209
Tm  0.5000  0.5000  0.0000
Tm  0.7641  0.7641  0.7791
Tm  0.8474  0.8474  0.2066
Sb  0.0399  0.0399  0.7233
Sb  0.3272  0.3272  0.5349
Sb  0.6728  0.6728  0.4651
Sb  0.9601  0.9601  0.2767